# 1
{"formula": "NaBPd", "functional": "PBE-GGA", "state": "optimized geometry", "energy_ev_per_atom": -3.78, "crystal_system": "cubic", "space_group": "F-43m, No. 216", "cell": [[0.0000, 2.7950, 2.7950], [2.7950, 0.0000, 2.7950], [2.7950, 2.7950, 0.0000]], "species": ["Na", "B", "Pd"], "frac_coords": [[0.0000, 0.0000, 0.0000], [0.2500, 0.2500, 0.2500], [0.5000, 0.5000, 0.5000]]}

***

# 2
{"formula": "TaFeNiAs", "functional": "PBE-GGA", "state": "optimized geometry", "energy_ev_per_atom": -7.54, "magnetic_moment_mub_per_fu": 1.9, "crystal_system": "cubic", "space_group": "F-43m, No. 216", "cell": [[0.0000, 3.0249, 3.0249], [3.0249, 0.0000, 3.0249], [3.0249, 3.0249, 0.0000]], "species": ["Ta", "Fe", "Ni", "As"], "frac_coords": [[0.0000, 0.0000, 0.0000], [0.7500, 0.7500, 0.7500], [0.5000, 0.5000, 0.5000], [0.2500, 0.2500, 0.2500]]}

***

# 3
{"formula": "AlTeOs", "functional": "PBE-GGA", "state": "optimized geometry", "energy_ev_per_atom": -5.92, "magnetic_moment_mub_per_fu": 0.0, "crystal_system": "cubic", "space_group": "F-43m, No. 216", "cell": [[0.0000, 3.0899, 3.0899], [3.0899, 0.0000, 3.0899], [3.0899, 3.0899, 0.0000]], "species": ["Al", "Te", "Os"], "frac_coords": [[0.0000, 0.0000, 0.0000], [0.5000, 0.5000, 0.5000], [0.2500, 0.2500, 0.2500]]}

***

# 4
{"formula": "ScInCoRe", "functional": "PBE-GGA", "state": "optimized geometry", "energy_ev_per_atom": -6.91, "magnetic_moment_mub_per_fu": 1.4, "crystal_system": "cubic", "space_group": "F-43m, No. 216", "cell": [[0.0000, 3.2109, 3.2109], [3.2109, 0.0000, 3.2109], [3.2109, 3.2109, 0.0000]], "species": ["Sc", "In", "Co", "Re"], "frac_coords": [[0.0000, 0.0000, 0.0000], [0.5000, 0.5000, 0.5000], [0.7500, 0.7500, 0.7500], [0.2500, 0.2500, 0.2500]]}

***

# 5
{"formula": "Be2CuW", "functional": "PBE-GGA", "state": "optimized geometry", "energy_ev_per_atom": -5.56, "magnetic_moment_mub_per_fu": 0.8, "crystal_system": "cubic", "space_group": "F-43m, No. 216", "cell": [[0.0000, 2.8458, 2.8458], [2.8458, 0.0000, 2.8458], [2.8458, 2.8458, 0.0000]], "species": ["Be", "Be", "Cu", "W"], "frac_coords": [[0.0000, 0.0000, 0.0000], [0.2500, 0.2500, 0.2500], [0.5000, 0.5000, 0.5000], [0.7500, 0.7500, 0.7500]]}

***

# 6
{"formula": "ScCoBiW", "functional": "PBE-GGA", "state": "optimized geometry", "energy_ev_per_atom": -7.07, "magnetic_moment_mub_per_fu": 0.8, "crystal_system": "cubic", "space_group": "F-43m, No. 216", "cell": [[0.0000, 3.2830, 3.2830], [3.2830, 0.0000, 3.2830], [3.2830, 3.2830, 0.0000]], "species": ["Sc", "Co", "Bi", "W"], "frac_coords": [[0.0000, 0.0000, 0.0000], [0.7500, 0.7500, 0.7500], [0.5000, 0.5000, 0.5000], [0.2500, 0.2500, 0.2500]]}